1.
# KPd3F, relaxed, DFT PBE
data_KPd3F
_chemical_formula_sum 'K1 Pd3 F1'
_symmetry_space_group_name_H-M 'P m -3 m'
_symmetry_Int_Tables_number 221
_symmetry_space_group_name_Hall '-P 4 2 3'
_cell_length_a 5.202
_cell_length_b 5.202
_cell_length_c 5.202
_cell_angle_alpha 90.00
_cell_angle_beta 90.00
_cell_angle_gamma 90.00
loop_
_atom_site_label
_atom_site_type_symbol
_atom_site_fract_x
_atom_site_fract_y
_atom_site_fract_z
_atom_site_occupancy
K1 K 0.000 0.000 0.000 1
Pd1 Pd 0.000 0.000 0.500 1
F1 F 0.500 0.500 0.500 1
# * calculated density: 4.5 g/cm3
# * density of states at the Fermi level: 5.24 states/eV/f.u.
# * magnetic moment: 0.285 μB per formula unit
# * energy relative to the elements, uncorrected: 1.26 eV/atom
# * offset from the most stable computed form: 1102 meV/atom

---

2.
# KPd3F, relaxed, DFT PBE
data_KPd3F
_chemical_formula_sum 'K1 Pd3 F1'
_symmetry_space_group_name_H-M 'P m -3 m'
_symmetry_Int_Tables_number 221
_symmetry_space_group_name_Hall '-P 4 2 3'
_cell_length_a 4.619
_cell_length_b 4.619
_cell_length_c 4.619
_cell_angle_alpha 90.00
_cell_angle_beta 90.00
_cell_angle_gamma 90.00
loop_
_atom_site_label
_atom_site_type_symbol
_atom_site_fract_x
_atom_site_fract_y
_atom_site_fract_z
_atom_site_occupancy
K1 K 0.000 0.000 0.000 1
Pd1 Pd 0.000 0.500 0.500 1
F1 F 0.500 0.500 0.500 1
# * calculated density: 6.4 g/cm3
# * density of states at the Fermi level: 7.17 states/eV/f.u.
# * magnetic moment: 0.590 μB per formula unit
# * energy relative to the elements, uncorrected: 0.16 eV/atom
# * offset from the most stable computed form: 0 meV/atom

---

3.
# KPdF, relaxed, DFT PBE
data_KPdF
_chemical_formula_sum 'K4 Pd4 F4'
_symmetry_space_group_name_H-M 'F -4 3 m'
_symmetry_Int_Tables_number 216
_symmetry_space_group_name_Hall 'F -4 2 3'
_cell_length_a 6.454
_cell_length_b 6.454
_cell_length_c 6.454
_cell_angle_alpha 90.00
_cell_angle_beta 90.00
_cell_angle_gamma 90.00
loop_
_atom_site_label
_atom_site_type_symbol
_atom_site_fract_x
_atom_site_fract_y
_atom_site_fract_z
_atom_site_occupancy
K1 K 0.000 0.000 0.000 1
Pd1 Pd 0.250 0.250 0.750 1
F1 F 0.000 0.000 0.500 1
# * calculated density: 4.1 g/cm3
# * density of states at the Fermi level: 1.76 states/eV/f.u.
# * magnetic moment: 0.000 μB per formula unit
# * energy relative to the elements, uncorrected: -0.49 eV/atom
# * offset from the most stable computed form: 924 meV/atom

---

What is the formula in the third record? KPdF